# 1
Nd2TcRu3: relaxed, PBE-GGA.

As for the uncorrected energy: -8.08 eV/atom. As for the crystal system: hexagonal.

The space group is P6_3/mmc (No. 194) and the conventional cell measures 5.5888, 5.5888 and 8.3808 Å, with angles of 90.00, 90.00 and 120.00 degrees. The distinct sites, in fractional coordinates, are Nd at (0.3333, 0.6667, 0.0632), Tc at (0.0000, 0.0000, 0.0000) and Ru at (0.1690, 0.3380, 0.7500).



# 2
SbS2F: relaxed, PBE-GGA.

For the formation energy from raw total energies, the calculation gives -0.22 eV/atom. For the excess energy over the best structure of this formula in the dataset, the calculation gives 0 meV per atom. As for the crystal system: trigonal.

The space group is R-3m (No. 166, hexagonal axes) and the conventional cell measures 3.6005, 3.6005 and 22.5472 Å, with angles of 90.00, 90.00 and 120.00 degrees. The distinct sites, in fractional coordinates, are Sb at (0.0000, 0.0000, 0.0000), S at (0.0000, 0.0000, 0.4075) and F at (0.0000, 0.0000, 0.5000).



# 3
YZnW2: relaxed, PBE-GGA.

As for the uncorrected energy: -7.92 eV/atom. As for the crystal system: monoclinic.

The space group is Cm (No. 8) and the conventional cell measures 9.138, 2.790 and 5.975 Å, with angles of 90.00, 94.66 and 90.00 degrees. The distinct sites, in fractional coordinates, are Y at (0.000, 0.000, 0.000), Zn at (0.249, 0.000, 0.716), W at (0.014, 0.500, 0.498) and W at (0.259, 0.500, 0.306).